Ac2Nd2DyY, optimized geometry, DFT PBE-GGA; crystal system = orthorhombic; uncorrected energy = -56.673 eV/cell; formation energy from the elements = 80 meV per atom
1.0
7.361 0.000 0.000
0.000 5.911 0.000
0.000 0.000 10.204
Ac Nd Dy Y
4 4 2 2
Cartesian
0.000 0.000 0.000
1.840 2.956 1.789
3.680 0.000 0.000
5.521 2.956 8.415
1.840 0.000 3.526
1.840 2.956 8.414
5.521 0.000 6.678
5.521 2.956 1.790
1.840 0.000 6.753
5.521 0.000 3.451
0.000 2.956 5.102
3.680 2.956 5.102

TmNiRh3, optimized geometry, DFT PBE-GGA; crystal system = orthorhombic; uncorrected energy = -62.158 eV/cell; formation energy from the elements = 246 meV per atom
1.0
3.439 -5.907 0.000
3.439 5.907 0.000
0.000 0.000 4.715
Tm Ni Rh
2 2 6
Cartesian
3.439 4.674 3.537
3.439 -4.674 1.179
3.439 2.123 3.537
3.439 -2.123 1.179
2.200 2.604 1.179
4.679 2.604 1.179
3.439 0.000 0.000
3.439 0.000 2.358
2.200 -2.604 3.537
4.679 -2.604 3.537

Na3Cd2Sn3Hg, optimized geometry, DFT PBE-GGA; crystal system = hexagonal; uncorrected energy = -18.960 eV/cell; formation energy from the elements = -96 meV per atom
1.0
8.721 0.000 0.000
-4.361 7.553 0.000
0.000 0.000 3.473
Na Cd Sn Hg
3 2 3 1
Cartesian
-1.256 2.176 0.000
2.513 0.000 0.000
3.104 5.377 0.000
0.000 5.035 0.000
4.361 2.518 0.000
-2.711 4.695 1.737
1.650 2.857 1.737
5.422 0.000 1.737
0.000 0.000 1.737

SrIrF3, optimized geometry, DFT PBE-GGA; crystal system = cubic; ΔE_f (raw) = -6.5 eV/f.u.; uncorrected energy = -22.648 eV/cell; energy above the most stable polymorph in this dataset = 0.1844 eV per atom
1.0
4.712 0.000 0.000
0.000 4.712 0.000
0.000 0.000 4.712
Sr Ir F
1 1 3
Cartesian
0.000 0.000 0.000
2.356 2.356 2.356
0.000 0.000 2.356
0.000 2.356 0.000
2.356 0.000 0.000

Sr2ZnCu2, optimized geometry, DFT PBE-GGA; crystal system = orthorhombic; uncorrected energy = -26.085 eV/cell; formation energy from the elements = -42 meV per atom
1.0
4.704 -3.597 0.000
4.704 3.597 0.000
0.000 0.000 7.566
Sr Zn Cu
4 2 4
Cartesian
1.853 0.000 0.000
1.853 0.000 3.783
7.556 0.000 0.000
7.556 0.000 3.783
4.704 1.239 5.674
4.704 -1.239 1.891
4.704 1.078 0.673
4.704 1.078 3.110
4.704 -1.078 4.456
4.704 -1.078 6.892

V3NiAu, optimized geometry, DFT PBE-GGA; crystal system = cubic; uncorrected energy = -27.794 eV/cell; formation energy from the elements = 1724 meV per atom; energy above the most stable polymorph in this dataset = 0.9557 eV per atom
1.0
4.839 0.000 0.000
0.000 4.839 0.000
0.000 0.000 4.839
V Ni Au
3 1 1
Cartesian
0.000 0.000 2.419
0.000 2.419 0.000
2.419 0.000 0.000
2.419 2.419 2.419
0.000 0.000 0.000

LiZrTcB2, optimized geometry, DFT PBE-GGA; crystal system = tetragonal; uncorrected energy = -27.542 eV/cell; formation energy from the elements = 1328 meV per atom
1.0
3.818 0.000 0.000
0.000 3.818 0.000
0.000 0.000 4.231
Li Zr Tc B
1 1 1 2
Cartesian
0.000 0.000 0.000
0.000 0.000 2.115
1.909 1.909 2.115
0.000 1.909 0.000
1.909 0.000 0.000

Cu3H8Ir2, optimized geometry, DFT PBE-GGA; crystal system = monoclinic; uncorrected energy = -55.217 eV/cell
1.0
4.599 -2.803 0.000
4.599 2.803 0.000
-1.398 0.000 4.358
Cu H Ir
3 8 2
Cartesian
0.000 0.000 0.000
3.900 1.340 2.179
3.900 -1.340 2.179
2.075 1.342 3.225
0.141 0.000 3.222
2.966 0.000 1.199
5.725 1.342 1.133
2.075 -1.342 3.225
4.834 0.000 3.159
7.659 0.000 1.136
5.725 -1.342 1.133
1.542 0.000 2.131
6.258 0.000 2.227

AcMg5, optimized geometry, DFT PBE-GGA; crystal system = hexagonal; uncorrected energy = -12.518 eV/cell; formation energy from the elements = -73 meV per atom
1.0
6.181 0.000 0.000
-3.090 5.353 0.000
0.000 0.000 4.977
Ac Mg
1 5
Cartesian
0.000 0.000 0.000
-1.545 2.676 2.488
0.000 3.568 0.000
3.090 0.000 2.488
1.545 2.676 2.488
3.090 1.784 0.000

Nd4Dy6Er, optimized geometry, DFT PBE-GGA; crystal system = hexagonal; uncorrected energy = -49.454 eV/cell; formation energy from the elements = 163 meV per atom; energy above the most stable polymorph in this dataset = 0.0000 eV per atom
1.0
11.028 0.000 0.000
-5.514 9.550 0.000
0.000 0.000 3.569
Nd Dy Er
4 6 1
Cartesian
0.000 0.000 0.000
5.514 0.060 1.785
2.809 4.745 1.785
8.219 4.745 1.785
0.000 3.407 0.000
-2.563 7.846 0.000
2.540 1.467 1.785
2.563 7.846 0.000
8.487 1.467 1.785
5.514 6.617 1.785
5.514 3.183 0.000

Question: uncorrected energy of number 4 (SrIrF3)?
Answer: -22.648 eV/cell